Record 1
Here is a geometry-optimized TaFe3Br structure from Alexandria via LeMat-Bulk. Energies are from PBE.

Output
- total magnetization (μB per atom) = 1.079
- formation energy without anion corrections (meV per atom) = 1559
- energy (eV/f.u.) = -31.12

```
data_TaFe3Br
_cell_length_a 4.665
_cell_length_b 4.665
_cell_length_c 4.665
_cell_angle_alpha 90.00
_cell_angle_beta 90.00
_cell_angle_gamma 90.00
_space_group_name_H-M_alt 'P 1'
_space_group_IT_number 1
loop_
_space_group_symop_operation_xyz
'x,y,z'
loop_
_atom_site_label
_atom_site_type_symbol
_atom_site_fract_x
_atom_site_fract_y
_atom_site_fract_z
_atom_site_occupancy
Ta1 Ta 0.000 0.000 0.000 1
Fe1 Fe 0.000 0.000 0.500 1
Fe2 Fe 0.000 0.500 0.000 1
Fe3 Fe 0.500 0.000 0.000 1
Br1 Br 0.500 0.500 0.500 1
```



Record 2
Here is a geometry-optimized Er2PaAsO8 structure from Alexandria via LeMat-Bulk. Energies are from PBE.

Output
- total magnetization (μB per atom) = 0.000
- formation energy without anion corrections (meV per atom) = -2851
- energy (eV/f.u.) = -97.14

```
data_Er2PaAsO8
_cell_length_a 4.921
_cell_length_b 4.921
_cell_length_c 6.698
_cell_angle_alpha 90.00
_cell_angle_beta 90.00
_cell_angle_gamma 91.67
_space_group_name_H-M_alt 'P 1'
_space_group_IT_number 1
loop_
_space_group_symop_operation_xyz
'x,y,z'
loop_
_atom_site_label
_atom_site_type_symbol
_atom_site_fract_x
_atom_site_fract_y
_atom_site_fract_z
_atom_site_occupancy
Er1 Er 0.000 0.000 0.235 1
Er2 Er 0.000 0.000 0.765 1
Pa1 Pa 0.500 0.500 0.500 1
As1 As 0.500 0.500 0.000 1
O1 O 0.195 0.195 0.500 1
O2 O 0.232 0.232 0.000 1
O3 O 0.321 0.679 0.218 1
O4 O 0.321 0.679 0.782 1
O5 O 0.679 0.321 0.218 1
O6 O 0.679 0.321 0.782 1
O7 O 0.768 0.768 0.000 1
O8 O 0.805 0.805 0.500 1
```



Record 3
Here is a geometry-optimized Tb2DyZn2Ge2 structure from Alexandria via LeMat-Bulk. Energies are from PBE.

Output
- total magnetization (μB per atom) = 0.000
- calculated formation energy (eV per atom) = -0.45
- energy (eV/f.u.) = -28.82

```
data_Tb2DyZn2Ge2
_cell_length_a 11.343
_cell_length_b 11.343
_cell_length_c 11.343
_cell_angle_alpha 20.99
_cell_angle_beta 20.99
_cell_angle_gamma 20.99
_space_group_name_H-M_alt 'P 1'
_space_group_IT_number 1
loop_
_space_group_symop_operation_xyz
'x,y,z'
loop_
_atom_site_label
_atom_site_type_symbol
_atom_site_fract_x
_atom_site_fract_y
_atom_site_fract_z
_atom_site_occupancy
Tb1 Tb 0.123 0.123 0.123 1
Tb2 Tb 0.877 0.877 0.877 1
Dy1 Dy 0.000 0.000 0.000 1
Zn1 Zn 0.389 0.389 0.389 1
Zn2 Zn 0.611 0.611 0.611 1
Ge1 Ge 0.266 0.266 0.266 1
Ge2 Ge 0.734 0.734 0.734 1
```



Record 4
Here is a geometry-optimized TbSm14Y structure from Alexandria via LeMat-Bulk. Energies are from PBE.

Output
- total magnetization (μB per atom) = 0.000
- calculated formation energy (eV per atom) = 0.01
- energy (eV/f.u.) = -76.92

```
data_TbSm14Y
_cell_length_a 7.253
_cell_length_b 7.253
_cell_length_c 10.220
_cell_angle_alpha 90.00
_cell_angle_beta 90.00
_cell_angle_gamma 90.00
_space_group_name_H-M_alt 'P 1'
_space_group_IT_number 1
loop_
_space_group_symop_operation_xyz
'x,y,z'
loop_
_atom_site_label
_atom_site_type_symbol
_atom_site_fract_x
_atom_site_fract_y
_atom_site_fract_z
_atom_site_occupancy
Tb1 Tb 0.000 0.000 0.000 1
Sm1 Sm 0.000 0.000 0.500 1
Sm2 Sm 0.000 0.500 0.000 1
Sm3 Sm 0.000 0.500 0.500 1
Sm4 Sm 0.250 0.250 0.249 1
Sm5 Sm 0.250 0.250 0.751 1
Sm6 Sm 0.250 0.750 0.249 1
Sm7 Sm 0.250 0.750 0.751 1
Sm8 Sm 0.500 0.000 0.000 1
Sm9 Sm 0.500 0.000 0.500 1
Sm10 Sm 0.500 0.500 0.500 1
Sm11 Sm 0.750 0.250 0.249 1
Sm12 Sm 0.750 0.250 0.751 1
Sm13 Sm 0.750 0.750 0.249 1
Sm14 Sm 0.750 0.750 0.751 1
Y1 Y 0.500 0.500 0.000 1
```



Record 5
Here is a geometry-optimized Ca3Ga2Ag9Sn structure from Alexandria via LeMat-Bulk. Energies are from PBE.

Output
- total magnetization (μB per atom) = 0.000
- calculated formation energy (eV per atom) = -0.04
- energy (eV/f.u.) = -42.37

```
data_Ca3Ga2Ag9Sn
_cell_length_a 8.077
_cell_length_b 8.077
_cell_length_c 6.638
_cell_angle_alpha 90.00
_cell_angle_beta 90.00
_cell_angle_gamma 120.00
_space_group_name_H-M_alt 'P 1'
_space_group_IT_number 1
loop_
_space_group_symop_operation_xyz
'x,y,z'
loop_
_atom_site_label
_atom_site_type_symbol
_atom_site_fract_x
_atom_site_fract_y
_atom_site_fract_z
_atom_site_occupancy
Ca1 Ca 0.000 0.000 0.000 1
Ca2 Ca 0.333 0.667 0.662 1
Ca3 Ca 0.667 0.333 0.338 1
Ga1 Ga 0.333 0.667 0.146 1
Ga2 Ga 0.667 0.333 0.854 1
Ag1 Ag 0.000 0.500 0.000 1
Ag2 Ag 0.173 0.347 0.320 1
Ag3 Ag 0.173 0.827 0.320 1
Ag4 Ag 0.347 0.173 0.680 1
Ag5 Ag 0.500 0.000 0.000 1
Ag6 Ag 0.500 0.500 0.000 1
Ag7 Ag 0.653 0.827 0.320 1
Ag8 Ag 0.827 0.173 0.680 1
Ag9 Ag 0.827 0.653 0.680 1
Sn1 Sn 0.000 0.000 0.500 1
```



Record 6
Here is a geometry-optimized YSi2Os4 structure from Alexandria via LeMat-Bulk. Energies are from PBE.

Output
- total magnetization (μB per atom) = 0.000
- formation energy without anion corrections (meV per atom) = -498
- energy (eV/f.u.) = -65.72

```
data_YSi2Os4
_cell_length_a 7.316
_cell_length_b 7.316
_cell_length_c 3.971
_cell_angle_alpha 90.00
_cell_angle_beta 90.00
_cell_angle_gamma 148.38
_space_group_name_H-M_alt 'P 1'
_space_group_IT_number 1
loop_
_space_group_symop_operation_xyz
'x,y,z'
loop_
_atom_site_label
_atom_site_type_symbol
_atom_site_fract_x
_atom_site_fract_y
_atom_site_fract_z
_atom_site_occupancy
Y1 Y 0.000 0.000 0.000 1
Si1 Si 0.416 0.584 0.500 1
Si2 Si 0.584 0.416 0.500 1
Os1 Os 0.186 0.814 0.500 1
Os2 Os 0.311 0.689 0.000 1
Os3 Os 0.689 0.311 0.000 1
Os4 Os 0.814 0.186 0.500 1
```



Record 7
Here is a geometry-optimized KTaMn2 structure from Alexandria via LeMat-Bulk. Energies are from PBE.

Output
- total magnetization (μB per atom) = 1.494
- calculated formation energy (eV per atom) = 0.80
- energy (eV/f.u.) = -28.09

```
data_KTaMn2
_cell_length_a 10.101
_cell_length_b 10.101
_cell_length_c 10.101
_cell_angle_alpha 17.87
_cell_angle_beta 17.87
_cell_angle_gamma 17.87
_space_group_name_H-M_alt 'P 1'
_space_group_IT_number 1
loop_
_space_group_symop_operation_xyz
'x,y,z'
loop_
_atom_site_label
_atom_site_type_symbol
_atom_site_fract_x
_atom_site_fract_y
_atom_site_fract_z
_atom_site_occupancy
K1 K 0.000 0.000 0.000 1
Ta1 Ta 0.500 0.500 0.500 1
Mn1 Mn 0.231 0.231 0.231 1
Mn2 Mn 0.769 0.769 0.769 1
```



Record 8
Here is a geometry-optimized La2TbY3Bi6 structure from Alexandria via LeMat-Bulk. Energies are from PBE.

Output
- total magnetization (μB per atom) = 0.000
- calculated formation energy (eV per atom) = -0.94
- energy (eV/f.u.) = -68.48

```
data_La2TbY3Bi6
_cell_length_a 7.907
_cell_length_b 7.907
_cell_length_c 7.887
_cell_angle_alpha 99.63
_cell_angle_beta 99.63
_cell_angle_gamma 120.01
_space_group_name_H-M_alt 'P 1'
_space_group_IT_number 1
loop_
_space_group_symop_operation_xyz
'x,y,z'
loop_
_atom_site_label
_atom_site_type_symbol
_atom_site_fract_x
_atom_site_fract_y
_atom_site_fract_z
_atom_site_occupancy
La1 La 0.166 0.834 0.000 1
La2 La 0.834 0.166 0.000 1
Tb1 Tb 0.500 0.500 0.000 1
Y1 Y 0.000 0.000 0.500 1
Y2 Y 0.331 0.669 0.500 1
Y3 Y 0.669 0.331 0.500 1
Bi1 Bi 0.088 0.415 0.743 1
Bi2 Bi 0.260 0.260 0.260 1
Bi3 Bi 0.415 0.088 0.743 1
Bi4 Bi 0.585 0.912 0.257 1
Bi5 Bi 0.740 0.740 0.740 1
Bi6 Bi 0.912 0.585 0.257 1
```



Record 9
Here is a geometry-optimized Sr2RePb structure from Alexandria via LeMat-Bulk. Energies are from PBE.

Output
- total magnetization (μB per atom) = 0.580
- calculated formation energy (eV per atom) = 0.70
- energy (eV/f.u.) = -16.72

```
data_Sr2RePb
_cell_length_a 5.849
_cell_length_b 5.849
_cell_length_c 5.849
_cell_angle_alpha 129.85
_cell_angle_beta 129.85
_cell_angle_gamma 73.65
_space_group_name_H-M_alt 'P 1'
_space_group_IT_number 1
loop_
_space_group_symop_operation_xyz
'x,y,z'
loop_
_atom_site_label
_atom_site_type_symbol
_atom_site_fract_x
_atom_site_fract_y
_atom_site_fract_z
_atom_site_occupancy
Sr1 Sr 0.250 0.750 0.500 1
Sr2 Sr 0.750 0.250 0.500 1
Re1 Re 0.000 0.000 0.000 1
Pb1 Pb 0.500 0.500 0.000 1
```



Record 10
Here is a geometry-optimized Zr2InGa structure from Alexandria via LeMat-Bulk. Energies are from PBE.

Output
- total magnetization (μB per atom) = 0.000
- calculated formation energy (eV per atom) = -0.38
- energy (eV/f.u.) = -24.38

```
data_Zr2InGa
_cell_length_a 3.059
_cell_length_b 5.285
_cell_length_c 5.285
_cell_angle_alpha 104.77
_cell_angle_beta 90.00
_cell_angle_gamma 90.00
_space_group_name_H-M_alt 'P 1'
_space_group_IT_number 1
loop_
_space_group_symop_operation_xyz
'x,y,z'
loop_
_atom_site_label
_atom_site_type_symbol
_atom_site_fract_x
_atom_site_fract_y
_atom_site_fract_z
_atom_site_occupancy
Zr1 Zr 0.000 0.227 0.773 1
Zr2 Zr 0.000 0.773 0.227 1
In1 In 0.500 0.287 0.287 1
Ga1 Ga 0.500 0.728 0.728 1
```



Record 11
Here is a geometry-optimized TlV3Hg structure from Alexandria via LeMat-Bulk. Energies are from PBE.

Output
- total magnetization (μB per atom) = 1.916
- calculated formation energy (eV per atom) = 1.55
- energy (eV/f.u.) = -22.26

```
data_TlV3Hg
_cell_length_a 5.102
_cell_length_b 5.102
_cell_length_c 5.102
_cell_angle_alpha 90.00
_cell_angle_beta 90.00
_cell_angle_gamma 90.00
_space_group_name_H-M_alt 'P 1'
_space_group_IT_number 1
loop_
_space_group_symop_operation_xyz
'x,y,z'
loop_
_atom_site_label
_atom_site_type_symbol
_atom_site_fract_x
_atom_site_fract_y
_atom_site_fract_z
_atom_site_occupancy
Tl1 Tl 0.000 0.000 0.000 1
V1 V 0.000 0.500 0.500 1
V2 V 0.500 0.000 0.500 1
V3 V 0.500 0.500 0.000 1
Hg1 Hg 0.500 0.500 0.500 1
```



Record 12
Here is a geometry-optimized Mg4Ag2Au structure from Alexandria via LeMat-Bulk. Energies are from PBE.

Output
- total magnetization (μB per atom) = 0.000
- calculated formation energy (eV per atom) = -0.28
- energy (eV/f.u.) = -17.30

```
data_Mg4Ag2Au
_cell_length_a 7.860
_cell_length_b 7.860
_cell_length_c 7.860
_cell_angle_alpha 34.74
_cell_angle_beta 34.74
_cell_angle_gamma 34.74
_space_group_name_H-M_alt 'P 1'
_space_group_IT_number 1
loop_
_space_group_symop_operation_xyz
'x,y,z'
loop_
_atom_site_label
_atom_site_type_symbol
_atom_site_fract_x
_atom_site_fract_y
_atom_site_fract_z
_atom_site_occupancy
Mg1 Mg 0.121 0.121 0.121 1
Mg2 Mg 0.373 0.373 0.373 1
Mg3 Mg 0.627 0.627 0.627 1
Mg4 Mg 0.879 0.879 0.879 1
Ag1 Ag 0.248 0.248 0.248 1
Ag2 Ag 0.752 0.752 0.752 1
Au1 Au 0.500 0.500 0.500 1
```



Q: Which of these has the lowest energy?
A: Er2PaAsO8



Copy entry 6 word for word.
Here is a geometry-optimized YSi2Os4 structure from Alexandria via LeMat-Bulk. Energies are from PBE.

Output
- total magnetization (μB per atom) = 0.000
- formation energy without anion corrections (meV per atom) = -498
- energy (eV/f.u.) = -65.72

```
data_YSi2Os4
_cell_length_a 7.316
_cell_length_b 7.316
_cell_length_c 3.971
_cell_angle_alpha 90.00
_cell_angle_beta 90.00
_cell_angle_gamma 148.38
_space_group_name_H-M_alt 'P 1'
_space_group_IT_number 1
loop_
_space_group_symop_operation_xyz
'x,y,z'
loop_
_atom_site_label
_atom_site_type_symbol
_atom_site_fract_x
_atom_site_fract_y
_atom_site_fract_z
_atom_site_occupancy
Y1 Y 0.000 0.000 0.000 1
Si1 Si 0.416 0.584 0.500 1
Si2 Si 0.584 0.416 0.500 1
Os1 Os 0.186 0.814 0.500 1
Os2 Os 0.311 0.689 0.000 1
Os3 Os 0.689 0.311 0.000 1
Os4 Os 0.814 0.186 0.500 1
```



Q: Among the records above, which one has the highest total magnetization?
A: TlV3Hg